Entry 1:
# Ce2CuBi

A relaxed Ce2CuBi crystal (GGA-PBE, Alexandria via LeMat-Bulk).

Values from the calculation:
Its total energy is -19.384 eV per cell. The value obtained for the density of states at the Fermi level is 8.7 states/eV/cell. Its energy above the most stable polymorph in this dataset is 0.389 eV/atom. The calculation puts the calculated volume at 109.3 Å³/f.u. As for the formation energy: 0.1153 eV/atom. Its density is 8.40 Mg/m³. As for the total magnetization: 0.394 μB/atom.

Unit cell a=3.404 b=3.404 c=11.062 alpha=81.15 beta=81.15 gamma=60.00
Site moments in Bohr magnetons follow the coordinates.
Positions (direct):
Cu1 0.500 0.500 0.500  0.00
Ce1 0.900 0.900 0.300  0.65
Ce2 0.100 0.100 0.700  0.65
Bi1 0.000 0.000 0.000  -0.02

Entry 2:
# TaCdHg2

A relaxed TaCdHg2 crystal (GGA-PBE, Alexandria via LeMat-Bulk).

Values from the calculation:
Its total energy is -10.507 eV per cell. The value obtained for the density of states at the Fermi level is 4.3 states/eV/cell. The calculation puts the calculated volume at 83.6 Å³/f.u. As for the formation energy: 0.7162 eV/atom. Its density is 13.79 Mg/m³. As for the total magnetization: 0.271 μB/atom.

Unit cell a=4.908 b=4.908 c=4.908 alpha=60.00 beta=60.00 gamma=60.00
Site moments in Bohr magnetons follow the coordinates.
Positions (direct):
Ta1 0.750 0.750 0.750  0.79
Cd1 0.500 0.500 0.500  0.01
Hg1 0.250 0.250 0.250  -0.02
Hg2 0.000 0.000 0.000  0.01

Entry 3:
# Pr4PdRhI2

A relaxed Pr4PdRhI2 crystal (GGA-PBE, Alexandria via LeMat-Bulk).

Values from the calculation:
Its total energy is -42.023 eV per cell. The formation energy without anion corrections comes out at -908 meV/atom. The value obtained for the density of states at the Fermi level is 5.1 states/eV/cell. The calculation puts the calculated volume at 257.2 Å³/f.u. Its density is 6.63 Mg/m³. As for the total magnetization: 0.000 μB/atom.

Unit cell a=4.255 b=7.376 c=8.557 alpha=106.74 beta=90.00 gamma=90.00
Positions (direct):
I1 0.500 0.000 0.500
I2 0.000 0.500 0.500
Rh1 0.500 0.500 0.000
Pr1 0.500 0.238 0.187
Pr2 0.000 0.278 0.813
Pr3 0.500 0.762 0.813
Pr4 0.000 0.722 0.187
Pd1 0.000 0.000 0.000

Entry 4:
# Cu5P

A relaxed Cu5P crystal (GGA-PBE, Alexandria via LeMat-Bulk).

Values from the calculation:
Its total energy is -25.476 eV per cell. The value obtained for the density of states at the Fermi level is 2.8 states/eV/cell. Its energy above the most stable polymorph in this dataset is 0.059 eV/atom. The calculation puts the calculated volume at 73.3 Å³/f.u. As for the formation energy: 0.0691 eV/atom. Its density is 7.90 Mg/m³. As for the total magnetization: 0.000 μB/atom.

Unit cell a=6.726 b=6.726 c=4.218 alpha=90.00 beta=90.00 gamma=157.41
Positions (direct):
P1 0.111 0.889 0.500
Cu1 0.446 0.554 0.500
Cu2 0.666 0.334 0.000
Cu3 0.334 0.666 0.000
Cu4 0.998 0.002 0.000
Cu5 0.778 0.222 0.500

Entry 5:
# GdThOs

A relaxed GdThOs crystal (GGA-PBE, Alexandria via LeMat-Bulk).

Values from the calculation:
Its total energy is -33.072 eV per cell. The value obtained for the density of states at the Fermi level is 3.2 states/eV/cell. Its energy above the most stable polymorph in this dataset is 0.073 eV/atom. The calculation puts the calculated volume at 80.0 Å³/f.u. As for the formation energy: -0.1138 eV/atom. Its density is 12.03 Mg/m³. As for the total magnetization: 2.431 μB/atom.

Unit cell a=3.437 b=3.437 c=7.195 alpha=103.82 beta=103.82 gamma=90.00
Site moments in Bohr magnetons follow the coordinates.
Positions (direct):
Gd1 0.037 0.037 0.073  7.07
Th1 0.295 0.295 0.590  0.07
Os1 0.668 0.668 0.337  -0.09

Entry 6:
# La2As4Pd3Pb

A relaxed La2As4Pd3Pb crystal (GGA-PBE, Alexandria via LeMat-Bulk).

Values from the calculation:
Its total energy is -55.078 eV per cell. The value obtained for the density of states at the Fermi level is 4.5 states/eV/cell. The calculation puts the calculated volume at 222.9 Å³/f.u. As for the formation energy: -0.7338 eV/atom. Its density is 8.23 Mg/m³. As for the total magnetization: 0.000 μB/atom.

Unit cell a=4.489 b=4.489 c=11.061 alpha=90.00 beta=90.00 gamma=90.00
Positions (direct):
As1 0.500 0.500 0.000
As2 0.000 0.500 0.330
As3 0.500 0.000 0.670
As4 0.000 0.000 0.000
La1 0.000 0.500 0.776
La2 0.500 0.000 0.224
Pd1 0.000 0.500 0.106
Pd2 0.000 0.000 0.500
Pd3 0.500 0.000 0.894
Pb1 0.500 0.500 0.500

Entry 7:
# ScCl

A relaxed ScCl crystal (GGA-PBE, Alexandria via LeMat-Bulk).

Values from the calculation:
Its total energy is -9.807 eV per cell. The formation energy without anion corrections comes out at -814 meV/atom. The value obtained for the density of states at the Fermi level is 1.2 states/eV/cell. The calculation puts the calculated volume at 34.9 Å³/f.u. Its density is 3.83 Mg/m³. As for the total magnetization: 0.000 μB/atom.

Unit cell a=3.268 b=3.268 c=3.268 alpha=90.00 beta=90.00 gamma=90.00
Positions (direct):
Cl1 0.000 0.000 0.000
Sc1 0.500 0.500 0.500

Entry 8:
# CuH3NCl

A relaxed CuH3NCl crystal (GGA-PBE, Alexandria via LeMat-Bulk).

Values from the calculation:
Its total energy is -108.792 eV per cell. The value obtained for the density of states at the Fermi level is 0.0 states/eV/cell. The calculation puts the calculated volume at 75.7 Å³/f.u. Its density is 2.55 Mg/m³. As for the total magnetization: 0.000 μB/atom.

Unit cell a=7.327 b=7.327 c=7.327 alpha=109.47 beta=109.47 gamma=109.47
Positions (direct):
H1 0.160 0.016 0.026
H2 0.857 0.340 0.367
H3 0.016 0.026 0.160
H4 0.367 0.857 0.340
H5 0.010 0.484 0.643
H6 0.340 0.367 0.857
H7 0.474 0.490 0.133
H8 0.026 0.160 0.016
H9 0.490 0.133 0.474
H10 0.133 0.474 0.490
H11 0.643 0.010 0.484
H12 0.484 0.643 0.010
Cl1 0.500 0.000 0.033
Cl2 0.033 0.500 0.000
Cl3 0.000 0.033 0.500
Cl4 0.467 0.467 0.467
N1 0.484 0.500 0.000
N2 0.016 0.016 0.016
N3 0.000 0.484 0.500
N4 0.500 0.000 0.484
Cu1 0.500 0.000 0.744
Cu2 0.756 0.756 0.756
Cu3 0.744 0.500 0.000
Cu4 0.000 0.744 0.500

Entry 9:
# NaMg2Cd3

A relaxed NaMg2Cd3 crystal (GGA-PBE, Alexandria via LeMat-Bulk).

Values from the calculation:
Its total energy is -14.850 eV per cell. The value obtained for the density of states at the Fermi level is 4.4 states/eV/cell. Its energy above the most stable polymorph in this dataset is 0.054 eV/atom. The calculation puts the calculated volume at 156.6 Å³/f.u. As for the formation energy: -0.0285 eV/atom. Its density is 4.33 Mg/m³. As for the total magnetization: 0.000 μB/atom.

Unit cell a=5.916 b=7.281 c=7.281 alpha=92.77 beta=90.00 gamma=90.00
Positions (direct):
Cd1 0.750 0.446 0.075
Cd2 0.750 0.043 0.043
Cd3 0.250 0.554 0.925
Cd4 0.250 0.925 0.554
Cd5 0.750 0.075 0.446
Cd6 0.250 0.957 0.957
Mg1 0.000 0.248 0.752
Mg2 0.000 0.752 0.248
Mg3 0.500 0.248 0.752
Mg4 0.500 0.752 0.248
Na1 0.250 0.291 0.291
Na2 0.750 0.709 0.709

Entry 10:
# AlNiP2

A relaxed AlNiP2 crystal (GGA-PBE, Alexandria via LeMat-Bulk).

Values from the calculation:
Its total energy is -21.148 eV per cell. The value obtained for the density of states at the Fermi level is 2.1 states/eV/cell. The calculation puts the calculated volume at 57.8 Å³/f.u. As for the formation energy: -0.2010 eV/atom. Its density is 4.24 Mg/m³. As for the total magnetization: 0.000 μB/atom.

Unit cell a=3.469 b=3.469 c=5.884 alpha=72.40 beta=72.40 gamma=60.74
Positions (direct):
Al1 0.750 0.750 0.750
P1 0.988 0.988 0.034
P2 0.512 0.512 0.466
Ni1 0.250 0.250 0.250

Entry 11:
# Y9Ho4Al11

A relaxed Y9Ho4Al11 crystal (GGA-PBE, Alexandria via LeMat-Bulk).

Values from the calculation:
Its total energy is -125.774 eV per cell. The value obtained for the density of states at the Fermi level is 15.2 states/eV/cell. The calculation puts the calculated volume at 578.2 Å³/f.u. As for the formation energy: -0.3383 eV/atom. Its density is 5.05 Mg/m³. As for the total magnetization: 0.000 μB/atom.

Unit cell a=3.372 b=13.538 c=13.538 alpha=110.68 beta=90.00 gamma=90.00
Positions (direct):
Ho1 0.500 0.592 0.758
Ho2 0.500 0.242 0.408
Ho3 0.500 0.408 0.242
Ho4 0.500 0.758 0.592
Al1 0.000 0.813 0.187
Al2 0.000 0.187 0.813
Al3 0.000 0.796 0.796
Al4 0.000 0.204 0.204
Al5 0.000 0.958 0.587
Al6 0.000 0.042 0.413
Al7 0.000 0.379 0.621
Al8 0.000 0.621 0.379
Al9 0.000 0.587 0.958
Al10 0.000 0.413 0.042
Al11 0.000 0.000 0.000
Y1 0.500 0.204 0.014
Y2 0.500 0.162 0.614
Y3 0.500 0.500 0.500
Y4 0.500 0.614 0.162
Y5 0.500 0.386 0.838
Y6 0.500 0.796 0.986
Y7 0.500 0.986 0.796
Y8 0.500 0.014 0.204
Y9 0.500 0.838 0.386

> Which of these has the highest calculated volume?

Y9Ho4Al11